Material: ScWNO2
Method: DFT, PBE with a Hubbard U
State: relaxed

The magnetization comes out at 1.999 μB/cell. For the density of states at the Fermi level, the calculation gives 1.701 states/eV per cell. The total energy is -34.6 eV/cell.

The space group is P4/mmm (No. 123) and the conventional cell measures 3.960, 3.960 and 4.175 Å, with angles of 90.00, 90.00 and 90.00 degrees. The distinct sites, in fractional coordinates, are Sc at (0.000, 0.000, 0.000), W at (0.500, 0.500, 0.500), N at (0.000, 0.000, 0.500) and O at (0.000, 0.500, 0.000).